The following is a DFT calculation (PBE-GGA) of crystalline CsTl8Hg4 at its relaxed geometry.

a = 6.213 Å, b = 8.747 Å, c = 8.747 Å
α = 82.75°, β = 69.20°, γ = 69.20°
Element x y z (fractional)
Hg1 0.000 0.000 0.500
Hg2 0.500 0.000 0.500
Cs1 0.000 0.000 0.000
Tl1 0.000 0.360 0.640
Tl2 0.500 0.220 0.780
Tl3 0.720 0.780 0.780
Tl4 0.360 0.640 0.640
Tl5 0.640 0.360 0.360
Tl6 0.000 0.640 0.360
Hg3 0.000 0.500 0.000
Tl7 0.280 0.220 0.220
Tl8 0.500 0.780 0.220
Hg4 0.500 0.500 0.000

Energy = -1.6554 eV/atom
ΔH_f (0 K) = -41 meV per atom
Space group = I4/mmm
Magnetic moment = 0.00 μB per formula unit
V = 32.0 Å³/atom

***

The following is a DFT calculation (PBE-GGA) of crystalline Cs2TlHg at its relaxed geometry.

a = 5.291 Å, b = 5.944 Å, c = 7.495 Å
α = 113.36°, β = 90.00°, γ = 90.00°
Element x y z (fractional)
Cs1 0.500 0.277 0.554
Cs2 0.000 0.976 0.951
Hg1 0.500 0.571 0.143
Tl1 0.000 0.676 0.351

Energy = -1.2274 eV/atom
ΔH_f (0 K) = -134 meV per atom
Space group = Amm2
Energy above the most stable polymorph in this dataset = 0 meV/atom
Magnetic moment = 0.00 μB per formula unit
V = 54.1 Å³/atom

***

The following is a DFT calculation (PBE-GGA) of crystalline Cs3Tl6Hg2 at its relaxed geometry.

a = 5.160 Å, b = 5.160 Å, c = 17.098 Å
α = 98.68°, β = 98.68°, γ = 90.00°
Element x y z (fractional)
Cs1 0.798 0.798 0.596
Tl1 0.397 0.897 0.795
Tl2 0.897 0.397 0.795
Hg1 0.454 0.454 0.908
Cs2 0.202 0.202 0.404
Tl3 0.664 0.664 0.328
Hg2 0.546 0.546 0.092
Cs3 0.000 0.000 0.000
Tl4 0.336 0.336 0.672
Tl5 0.103 0.603 0.205
Tl6 0.603 0.103 0.205

Energy = -1.6770 eV/atom
ΔH_f (0 K) = -99 meV per atom
Space group = I4/mmm
Magnetic moment = 0.00 μB per formula unit
V = 40.4 Å³/atom

***

The following is a DFT calculation (PBE-GGA) of crystalline Cs3TlHg8 at its relaxed geometry.

a = 6.600 Å, b = 6.600 Å, c = 11.749 Å
α = 73.69°, β = 73.69°, γ = 60.00°
Element x y z (fractional)
Hg1 0.435 0.936 0.194
Cs1 0.505 0.505 0.485
Hg2 0.444 0.938 0.680
Hg3 0.190 0.190 0.431
Hg4 0.686 0.686 0.941
Hg5 0.936 0.435 0.194
Tl1 0.874 0.874 0.379
Hg6 0.435 0.435 0.194
Cs2 0.376 0.376 0.872
Hg7 0.938 0.444 0.680
Cs3 0.993 0.993 0.021
Hg8 0.938 0.938 0.680

Energy = -0.7855 eV/atom
ΔH_f (0 K) = -174 meV per atom
Space group = R3m
Magnetic moment = 0.00 μB per formula unit
V = 34.9 Å³/atom

***

The following is a DFT calculation (PBE-GGA) of crystalline Cs2TlHg at its relaxed geometry.

a = 4.510 Å, b = 4.510 Å, c = 9.719 Å
α = 90.00°, β = 90.00°, γ = 90.00°
Element x y z (fractional)
Tl1 0.500 0.500 0.000
Cs1 0.000 0.000 0.748
Hg1 0.500 0.500 0.500
Cs2 0.000 0.000 0.252

Energy = -1.1452 eV/atom
ΔH_f (0 K) = -51 meV per atom
Space group = P4/mmm
Energy above the most stable polymorph in this dataset = 82 meV/atom
Magnetic moment = 0.37 μB per formula unit
V = 49.4 Å³/atom

***

The following is a DFT calculation (PBE-GGA) of crystalline Cs2Tl17Hg3 at its relaxed geometry.

a = 9.248 Å, b = 9.400 Å, c = 9.247 Å
α = 82.09°, β = 85.86°, γ = 82.10°
Element x y z (fractional)
Tl1 0.112 0.102 0.113
Hg1 0.500 0.000 0.500
Tl2 0.000 0.500 0.000
Tl3 0.336 0.812 0.336
Tl4 0.251 0.747 0.001
Tl5 0.500 0.000 0.000
Cs1 0.659 0.652 0.659
Tl6 0.667 0.670 0.182
Tl7 0.000 0.000 0.500
Hg2 0.000 0.500 0.500
Tl8 0.260 0.000 0.740
Tl9 0.740 0.000 0.260
Tl10 0.818 0.330 0.333
Tl11 0.888 0.898 0.887
Tl12 0.999 0.253 0.749
Tl13 0.664 0.188 0.664
Tl14 0.001 0.747 0.251
Tl15 0.182 0.670 0.667
Tl16 0.749 0.253 0.999
Hg3 0.500 0.500 0.000
Cs2 0.341 0.348 0.341
Tl17 0.333 0.330 0.818

Energy = -1.9595 eV/atom
ΔH_f (0 K) = -12 meV per atom
Space group = C2/m
Magnetic moment = 0.00 μB per formula unit
V = 35.8 Å³/atom

***

The following is a DFT calculation (PBE-GGA) of crystalline CsTlHg2 at its relaxed geometry.

a = 5.938 Å, b = 5.938 Å, c = 5.938 Å
α = 60.00°, β = 60.00°, γ = 60.00°
Element x y z (fractional)
Cs1 0.000 0.000 0.000
Tl1 0.500 0.500 0.500
Hg1 0.750 0.750 0.750
Hg2 0.250 0.250 0.250

Energy = -1.0456 eV/atom
ΔH_f (0 K) = -90 meV per atom
Space group = Fm-3m
Energy above the most stable polymorph in this dataset = 66 meV/atom
Magnetic moment = 0.00 μB per formula unit
V = 37.0 Å³/atom

***

The following is a DFT calculation (PBE-GGA) of crystalline Cs3Tl5Hg2 at its relaxed geometry.

a = 7.889 Å, b = 11.059 Å, c = 11.059 Å
α = 76.04°, β = 69.10°, γ = 69.10°
Element x y z (fractional)
Cs1 0.379 0.390 0.852
Cs2 0.750 0.000 0.000
Tl1 0.997 0.753 0.753
Tl2 0.250 0.500 0.500
Cs3 0.121 0.148 0.610
Hg1 0.652 0.003 0.694
Tl3 0.750 0.500 0.500
Tl4 0.368 0.752 0.512
Tl5 0.503 0.247 0.247
Tl6 0.497 0.753 0.753
Cs4 0.250 0.000 0.000
Cs5 0.621 0.610 0.148
Hg2 0.152 0.694 0.003
Hg3 0.848 0.306 0.997
Hg4 0.348 0.997 0.306
Cs6 0.879 0.852 0.390
Tl7 0.868 0.512 0.752
Tl8 0.132 0.488 0.248
Tl9 0.003 0.247 0.247
Tl10 0.632 0.248 0.488

Energy = -1.6028 eV/atom
ΔH_f (0 K) = -103 meV per atom
Space group = Ibam
Magnetic moment = 0.00 μB per formula unit
V = 41.7 Å³/atom

***

The following is a DFT calculation (PBE-GGA) of crystalline CsTl4Hg8 at its relaxed geometry.

a = 6.469 Å, b = 8.693 Å, c = 8.693 Å
α = 82.04°, β = 68.16°, γ = 68.16°
Element x y z (fractional)
Hg1 0.000 0.356 0.644
Tl1 0.500 0.000 0.500
Hg2 0.356 0.644 0.644
Hg3 0.746 0.754 0.754
Hg4 0.644 0.356 0.356
Hg5 0.254 0.246 0.246
Tl2 0.000 0.000 0.500
Hg6 0.500 0.754 0.246
Hg7 0.500 0.246 0.754
Cs1 0.000 0.000 0.000
Tl3 0.000 0.500 0.000
Tl4 0.500 0.500 0.000
Hg8 0.000 0.644 0.356

Energy = -1.0317 eV/atom
ΔH_f (0 K) = -52 meV per atom
Space group = I4/mmm
Magnetic moment = 0.00 μB per formula unit
V = 32.4 Å³/atom

***

The following is a DFT calculation (PBE-GGA) of crystalline CsTlHg at its relaxed geometry.

a = 4.221 Å, b = 4.221 Å, c = 7.366 Å
α = 106.65°, β = 106.65°, γ = 90.00°
Element x y z (fractional)
Cs1 0.004 0.004 0.007
Hg1 0.702 0.702 0.404
Tl1 0.294 0.294 0.588

Energy = -1.2808 eV/atom
ΔH_f (0 K) = -107 meV per atom
Space group = I4mm
Energy above the most stable polymorph in this dataset = 64 meV/atom
Magnetic moment = 0.00 μB per formula unit
V = 40.0 Å³/atom

***

The following is a DFT calculation (PBE-GGA) of crystalline Cs2Tl3Hg at its relaxed geometry.

a = 7.975 Å, b = 8.993 Å, c = 8.421 Å
α = 103.79°, β = 90.00°, γ = 116.32°
Element x y z (fractional)
Hg1 0.236 0.000 0.750
Hg2 0.764 0.000 0.250
Tl1 0.094 0.223 0.550
Cs1 0.648 0.330 0.585
Tl2 0.219 0.000 0.250
Cs2 0.681 0.330 0.085
Tl3 0.870 0.777 0.950
Cs3 0.319 0.670 0.915
Tl4 0.906 0.777 0.450
Cs4 0.352 0.670 0.415
Tl5 0.781 0.000 0.750
Tl6 0.130 0.223 0.050

Energy = -1.6233 eV/atom
ΔH_f (0 K) = -105 meV per atom
Space group = C2/c
Magnetic moment = 0.00 μB per formula unit
V = 43.5 Å³/atom

***

The following is a DFT calculation (PBE-GGA) of crystalline CsTlHg4 at its relaxed geometry.

a = 6.513 Å, b = 6.513 Å, c = 6.513 Å
α = 60.00°, β = 60.00°, γ = 60.00°
Element x y z (fractional)
Hg1 0.624 0.624 0.624
Tl1 0.250 0.250 0.250
Hg2 0.624 0.624 0.128
Hg3 0.128 0.624 0.624
Hg4 0.624 0.128 0.624
Cs1 0.000 0.000 0.000

Energy = -0.8514 eV/atom
ΔH_f (0 K) = -114 meV per atom
Space group = F-43m
Energy above the most stable polymorph in this dataset = 39 meV/atom
Magnetic moment = 0.00 μB per formula unit
V = 32.6 Å³/atom